The following is a PBE with a Hubbard U calculation of a geometry-optimized PaFeTeO6 structure, from Alexandria via LeMat-Bulk.

Output
The total magnetic moment comes out at 5.0 μB/f.u. The total energy comes out at -7.2386 eV per atom.

a b c (Å): 5.615 5.615 8.859
angles (deg): 90.00 90.00 120.00
Site moments in Bohr magnetons follow the coordinates.
Element x y z (fractional)
O (0.677, 0.680, 0.125)  0.07
Pa (0.333, 0.667, 0.250)  0.09
O (0.680, 0.677, 0.625)  0.07
O (0.323, 0.003, 0.625)  0.07
O (0.997, 0.320, 0.625)  0.07
O (0.323, 0.320, 0.875)  0.07
Te (0.667, 0.333, 0.250)  0.02
O (0.003, 0.680, 0.375)  0.07
O (0.320, 0.997, 0.125)  0.07
O (0.677, 0.997, 0.375)  0.07
Pa (0.667, 0.333, 0.750)  0.09
O (0.003, 0.323, 0.125)  0.07
O (0.997, 0.677, 0.875)  0.07
Fe (0.000, 0.000, 0.000)  4.33
Fe (0.000, 0.000, 0.500)  4.33
Te (0.333, 0.667, 0.750)  0.02
O (0.320, 0.323, 0.375)  0.07
O (0.680, 0.003, 0.875)  0.07